# 1
# Pa3TiSi6

Pa3TiSi6 after structural relaxation (GGA-PBE, the Alexandria database).

```
Pa3TiSi6
1.0
7.2282 -0.0071 -0.8924
-1.0085 7.1575 -0.8924
-0.0062 -0.0071 7.2830
Pa Si Ti
6 12 2
direct
0.6871 0.8129 0.2500
0.2500 0.6871 0.8129
0.7500 0.3129 0.1871
0.8129 0.2500 0.6871
0.3129 0.1871 0.7500
0.1871 0.7500 0.3129
0.5898 0.5200 0.8708
0.9102 0.6292 0.9800
0.0200 0.0898 0.3708
0.8708 0.5898 0.5200
0.0898 0.3708 0.0200
0.5200 0.8708 0.5898
0.3708 0.0200 0.0898
0.1292 0.4102 0.4800
0.4800 0.1292 0.4102
0.6292 0.9800 0.9102
0.9800 0.9102 0.6292
0.4102 0.4800 0.1292
0.5000 0.5000 0.5000
0.0000 0.0000 0.0000
```

Output
- SG = R-3c, No. 167
- DFT total energy (eV/atom) = -7.41
- formation energy (no corrections) (meV/atom) = -514

---

# 2
# K3V5Se12

K3V5Se12 after structural relaxation (GGA-PBE, the Alexandria database).

```
K3V5Se12
1.0
-3.2639 -13.6870 0.3099
8.2287 3.1106 10.9862
-11.7943 7.6516 0.6574
Se K V
48 12 20
direct
0.3128 0.5046 0.4033
0.8128 0.9094 0.3081
0.1919 0.5046 0.6013
0.4094 0.1013 0.5967
0.5046 0.3128 0.9033
0.5967 0.9954 0.6872
0.8128 0.9033 0.0046
0.8987 0.5906 0.9033
0.4954 0.6872 0.0967
0.1013 0.6919 0.5046
0.1013 0.4094 0.0967
0.6872 0.1919 0.5906
0.1872 0.0906 0.6919
0.4033 0.3987 0.5906
0.4954 0.8081 0.8987
0.6919 0.5906 0.1872
0.0046 0.4033 0.8128
0.6013 0.5967 0.9094
0.6013 0.0046 0.1919
0.8987 0.3081 0.4954
0.5046 0.1919 0.1013
0.0906 0.1872 0.1919
0.3987 0.9954 0.8081
0.4094 0.3081 0.3128
0.3081 0.8987 0.9954
0.9954 0.3987 0.3081
0.3987 0.4033 0.0906
0.5906 0.6919 0.6872
0.6872 0.4954 0.5967
0.0967 0.1872 0.4954
0.9094 0.0967 0.6013
0.3081 0.4094 0.8128
0.5967 0.6013 0.4094
0.5906 0.8987 0.4033
0.6919 0.1013 0.0046
0.3128 0.8081 0.4094
0.9033 0.0906 0.8987
0.9033 0.8128 0.5046
0.1919 0.6872 0.0906
0.0046 0.6013 0.6919
0.8081 0.4954 0.3987
0.9094 0.8128 0.8081
0.0967 0.9094 0.1013
0.9954 0.5967 0.1872
0.4033 0.0046 0.3128
0.1872 0.0967 0.9954
0.0906 0.9033 0.3987
0.8081 0.3128 0.9094
0.6250 0.2500 0.3750
0.7500 0.8750 0.6250
0.7500 0.3750 0.1250
0.3750 0.6250 0.2500
0.1250 0.2500 0.8750
0.8750 0.7500 0.1250
0.6250 0.3750 0.7500
0.2500 0.1250 0.3750
0.8750 0.1250 0.2500
0.2500 0.6250 0.8750
0.1250 0.8750 0.7500
0.3750 0.7500 0.6250
0.5000 0.0000 0.5000
0.1250 0.7500 0.3750
0.7500 0.6250 0.3750
0.8750 0.2500 0.6250
0.5000 0.0000 0.0000
0.2500 0.8750 0.1250
0.6250 0.7500 0.8750
0.0000 0.5000 0.0000
0.2500 0.3750 0.6250
0.6250 0.8750 0.2500
0.0000 0.0000 0.5000
0.0000 0.0000 0.0000
0.0000 0.5000 0.5000
0.5000 0.5000 0.5000
0.3750 0.1250 0.7500
0.3750 0.2500 0.1250
0.7500 0.1250 0.8750
0.5000 0.5000 0.0000
0.8750 0.6250 0.7500
0.1250 0.3750 0.2500
```

Output
- SG = Ia-3d, No. 230
- DFT total energy (eV/atom) = -5.21
- formation energy (no corrections) (meV/atom) = -674

---

# 3
# Cs3K8Rb2

Cs3K8Rb2 after structural relaxation (GGA-PBE, the Alexandria database).

```
Cs3K8Rb2
1.0
-2.7474 -8.2565 -1.3649
3.1465 -6.5649 4.9582
-12.7073 -2.5403 12.5243
Rb K Cs
2 8 3
direct
0.3570 0.3570 0.9290
0.6430 0.6430 0.0710
0.7671 0.2640 0.7050
0.2731 0.2731 0.1806
0.7269 0.7269 0.8194
0.7360 0.7360 0.2950
0.7360 0.2329 0.2950
0.2640 0.2640 0.7050
0.2640 0.7671 0.7050
0.2329 0.7360 0.2950
0.0000 0.0000 0.0000
0.1821 0.1821 0.4537
0.8179 0.8179 0.5463
```

Output
- SG = R-3m, No. 166
- DFT total energy (eV/atom) = -0.99
- DFT formation energy (kJ/mol of formula units) = 41

---

# 4
# Tb2PdRh

Tb2PdRh after structural relaxation (GGA-PBE, the Alexandria database).

```
Tb2PdRh
1.0
3.4757 0.0000 0.0000
0.0000 3.4757 0.0000
0.0000 0.0000 6.9916
Rh Pd Tb
1 1 2
direct
0.5000 0.5000 0.0000
0.5000 0.5000 0.5000
0.0000 0.0000 0.2413
0.0000 0.0000 0.7587
```

Output
- SG = P4/mmm, No. 123
- DFT total energy (eV/atom) = -6.33
- DFT formation energy (kJ/mol of formula units) = -338

---

no.,DOS(E_F) (states/eV/atom)
1,1.164
2,0.516
3,0.776
4,0.512